[1]
This record from Alexandria via LeMat-Bulk describes a relaxed structure of HoAs3. The functional is GGA-PBE.

Lattice parameters (Å, degrees): 3.9540 4.1917 5.7098 90.00 90.00 90.00
Positions (direct):
As  0.5000  0.2797  0.0000
As  0.5000  0.4478  0.5000
As  0.0000  0.8426  0.5000
Ho  0.0000  0.7632  0.0000

Results
* total magnetization: 0.000 μB/f.u.
* crystal system: orthorhombic

=====

[2]
This record from Alexandria via LeMat-Bulk describes a relaxed structure of Ho4As. The functional is GGA-PBE.

Lattice parameters (Å, degrees): 5.4515 5.4515 5.4515 90.00 90.00 90.00
Positions (direct):
As  0.5000  0.5000  0.5000
Ho  0.0000  0.0000  0.0000
Ho  0.5000  0.0000  0.5000
Ho  0.0000  0.5000  0.5000
Ho  0.5000  0.5000  0.0000

Results
* total magnetization: 1.081 μB/f.u.
* crystal system: cubic

=====

[3]
This record from Alexandria via LeMat-Bulk describes a relaxed structure of HoAs3. The functional is GGA-PBE.

Lattice parameters (Å, degrees): 6.0492 6.0492 5.3816 90.00 90.00 120.00
Positions (direct):
Ho  0.3333  0.6667  0.7500
Ho  0.6667  0.3333  0.2500
As  0.1838  0.3676  0.2500
As  0.6324  0.8162  0.2500
As  0.1838  0.8162  0.2500
As  0.8162  0.6324  0.7500
As  0.3676  0.1838  0.7500
As  0.8162  0.1838  0.7500

Results
* total magnetization: 0.000 μB/f.u.
* crystal system: hexagonal

=====

Number 1: energy relative to the elements -0.63 eV/atom. Number 2: energy relative to the elements -0.27 eV/atom. Number 3: energy relative to the elements -0.49 eV/atom.